# 1
Here is a relaxed MnCd2GaO5 crystal from Alexandria via LeMat-Bulk. Energies are from GGA+U.

extended XYZ file:
```
18
Lattice="3.263 0.000 0.000 -1.632 6.022 0.000 0.000 0.000 11.586" Properties=species:S:1:pos:R:3 pbc="T T T"
Ga 0.000 5.557 5.139
Ga 1.632 0.466 10.932
O 0.000 5.865 9.151
O 1.632 0.157 3.358
O 0.000 3.486 4.809
O 1.632 2.876 1.820
O 1.632 5.113 6.081
O 0.000 0.910 0.288
O 0.000 4.762 0.287
O 1.632 1.260 6.080
O 0.000 3.146 7.613
O 1.632 2.536 10.602
Cd 0.000 1.983 3.197
Cd 1.632 4.039 8.990
Cd 0.000 0.909 7.760
Cd 1.632 5.114 1.967
Mn 1.632 3.160 6.058
Mn 0.000 2.862 0.265
```

Computed properties:
Magnetization ... 7.963 μB per cell
Calculated volume ... 113.84 Å³/f.u.
DFT total energy ... -5.479 eV per atom


# 2
Here is a relaxed Mn2Cd2GaO6 crystal from Alexandria via LeMat-Bulk. Energies are from GGA+U.

extended XYZ file:
```
11
Lattice="-5.136 1.424 0.652 2.036 -3.535 3.492 2.591 4.782 1.807" Properties=species:S:1:pos:R:3 pbc="T T T"
Cd -3.906 0.574 1.139
Cd 0.806 -2.684 3.005
O -0.507 -1.142 4.288
O -2.930 0.533 3.329
O 0.046 0.974 1.585
O -0.002 3.814 1.662
O 2.421 2.139 2.622
O -0.555 1.698 4.365
Ga 1.295 2.391 0.904
Mn 0.921 0.523 3.441
Mn -1.430 2.148 2.510
```

Computed properties:
Magnetization ... 8.999 μB per cell
Calculated volume ... 138.51 Å³/f.u.
DFT total energy ... -5.895 eV per atom


# 3
Here is a relaxed MnCdGa4O8 crystal from Alexandria via LeMat-Bulk. Energies are from GGA+U.

extended XYZ file:
```
14
Lattice="6.116 0.000 0.000 3.058 5.297 0.000 3.058 1.766 4.961" Properties=species:S:1:pos:R:3 pbc="T T T"
O 4.482 4.475 1.308
O 7.751 4.475 1.308
O 3.058 1.766 1.480
O 9.175 5.297 3.600
O 6.116 5.550 3.616
O 4.368 2.522 3.616
O 7.864 2.522 3.616
O 6.116 1.644 1.308
Ga 4.562 0.897 2.485
Ga 6.116 3.531 0.660
Ga 1.554 0.897 2.485
Ga 3.058 3.503 2.485
Cd 6.116 3.531 4.300
Mn 3.058 1.766 4.942
```

Computed properties:
Magnetization ... 2.529 μB per cell
Calculated volume ... 160.73 Å³/f.u.
DFT total energy ... -5.823 eV per atom